1.
# ScPaTcPb (PBE-GGA, relaxed)
# ΔE to the lowest computed polymorph: 264 meV/atom
# calculated formation energy: -35 meV/atom
# V: 83 Å³ per cell
data_ScPaTcPb
_chemical_formula_sum 'Sc1 Pa1 Tc1 Pb1'
_space_group_name_H-M_alt 'P 1'
_space_group_IT_number 1
_cell_length_a 4.898
_cell_length_b 4.898
_cell_length_c 4.898
_cell_angle_alpha 60.00
_cell_angle_beta 60.00
_cell_angle_gamma 60.00
loop_
_space_group_symop_operation_xyz
'x,y,z'
loop_
_atom_site_label
_atom_site_fract_x
_atom_site_fract_y
_atom_site_fract_z
Pb1 0.750 0.750 0.750
Sc1 0.000 0.000 0.000
Pa1 0.250 0.250 0.250
Tc1 0.500 0.500 0.500

---

2.
# AcY12Er3 (PBE-GGA, relaxed)
# calculated formation energy: 35 meV/atom
# V: 522 Å³ per cell
data_AcY12Er3
_chemical_formula_sum 'Ac1 Y12 Er3'
_space_group_name_H-M_alt 'P 1'
_space_group_IT_number 1
_cell_length_a 5.068
_cell_length_b 5.068
_cell_length_c 20.328
_cell_angle_alpha 90.00
_cell_angle_beta 90.00
_cell_angle_gamma 90.00
loop_
_space_group_symop_operation_xyz
'x,y,z'
loop_
_atom_site_label
_atom_site_fract_x
_atom_site_fract_y
_atom_site_fract_z
Ac1 0.000 0.000 0.000
Y1 0.500 0.500 0.000
Y2 0.500 0.500 0.255
Y3 0.500 0.500 0.500
Y4 0.500 0.500 0.745
Y5 0.500 0.000 0.132
Y6 0.500 0.000 0.377
Y7 0.500 0.000 0.623
Y8 0.500 0.000 0.868
Y9 0.000 0.500 0.132
Y10 0.000 0.500 0.377
Y11 0.000 0.500 0.623
Y12 0.000 0.500 0.868
Er1 0.000 0.000 0.254
Er2 0.000 0.000 0.500
Er3 0.000 0.000 0.746

---

3.
# Na2BePt2O6 (PBE-GGA, relaxed)
# formation energy from raw total energies: -114 kJ/mol of atoms
# V: 129 Å³ per cell
data_Na2BePt2O6
_chemical_formula_sum 'Na2 Be1 Pt2 O6'
_space_group_name_H-M_alt 'P 1'
_space_group_IT_number 1
_cell_length_a 5.259
_cell_length_b 5.259
_cell_length_c 5.672
_cell_angle_alpha 98.56
_cell_angle_beta 98.56
_cell_angle_gamma 120.61
loop_
_space_group_symop_operation_xyz
'x,y,z'
loop_
_atom_site_label
_atom_site_fract_x
_atom_site_fract_y
_atom_site_fract_z
Na1 0.836 0.164 0.000
Na2 0.164 0.836 0.000
Be1 0.000 0.000 0.500
Pt1 0.335 0.665 0.500
Pt2 0.665 0.335 0.500
O1 0.757 0.757 0.677
O2 0.058 0.387 0.688
O3 0.243 0.243 0.323
O4 0.387 0.058 0.688
O5 0.942 0.613 0.312
O6 0.613 0.942 0.312

---

4.
# Na5PaO5 (PBE-GGA, relaxed)
# formation energy from raw total energies: -214 kJ/mol of atoms
# V: 165 Å³ per cell
data_Na5PaO5
_chemical_formula_sum 'Na5 Pa1 O5'
_space_group_name_H-M_alt 'P 1'
_space_group_IT_number 1
_cell_length_a 4.633
_cell_length_b 6.074
_cell_length_c 6.696
_cell_angle_alpha 107.25
_cell_angle_beta 90.00
_cell_angle_gamma 112.42
loop_
_space_group_symop_operation_xyz
'x,y,z'
loop_
_atom_site_label
_atom_site_fract_x
_atom_site_fract_y
_atom_site_fract_z
Na1 0.704 0.408 0.335
Na2 0.682 0.364 0.857
Na3 0.000 0.000 0.500
Na4 0.318 0.636 0.143
Na5 0.296 0.592 0.665
Pa1 0.000 0.000 0.000
O1 0.862 0.724 0.164
O2 0.851 0.701 0.696
O3 0.500 0.000 0.000
O4 0.149 0.299 0.304
O5 0.138 0.276 0.836

---

5.
# NaPu2ReN4 (PBE-GGA, relaxed)
# formation energy from raw total energies: -62 kJ/mol of atoms
# V: 252 Å³ per cell
data_NaPu2ReN4
_chemical_formula_sum 'Na2 Pu4 Re2 N8'
_space_group_name_H-M_alt 'P 1'
_space_group_IT_number 1
_cell_length_a 3.466
_cell_length_b 6.232
_cell_length_c 12.139
_cell_angle_alpha 90.00
_cell_angle_beta 90.00
_cell_angle_gamma 106.15
loop_
_space_group_symop_operation_xyz
'x,y,z'
loop_
_atom_site_label
_atom_site_fract_x
_atom_site_fract_y
_atom_site_fract_z
Na1 0.059 0.119 0.750
Na2 0.941 0.881 0.250
Pu1 0.370 0.741 0.547
Pu2 0.630 0.259 0.047
Pu3 0.630 0.259 0.453
Pu4 0.370 0.741 0.953
Re1 0.796 0.593 0.750
Re2 0.204 0.407 0.250
N1 0.247 0.495 0.094
N2 0.753 0.505 0.594
N3 0.753 0.505 0.906
N4 0.247 0.495 0.406
N5 0.000 0.000 0.500
N6 0.000 0.000 0.000
N7 0.378 0.755 0.750
N8 0.622 0.245 0.250

---

6.
# Ac3LaPm12 (PBE-GGA, relaxed)
# calculated formation energy: 26 meV/atom
# V: 582 Å³ per cell
data_Ac3LaPm12
_chemical_formula_sum 'Ac3 La1 Pm12'
_space_group_name_H-M_alt 'P 1'
_space_group_IT_number 1
_cell_length_a 5.263
_cell_length_b 5.263
_cell_length_c 21.004
_cell_angle_alpha 90.00
_cell_angle_beta 90.00
_cell_angle_gamma 90.00
loop_
_space_group_symop_operation_xyz
'x,y,z'
loop_
_atom_site_label
_atom_site_fract_x
_atom_site_fract_y
_atom_site_fract_z
Ac1 0.000 0.000 0.248
Ac2 0.000 0.000 0.500
Ac3 0.000 0.000 0.752
La1 0.000 0.000 0.000
Pm1 0.500 0.500 0.000
Pm2 0.500 0.500 0.248
Pm3 0.500 0.500 0.500
Pm4 0.500 0.500 0.752
Pm5 0.500 0.000 0.122
Pm6 0.500 0.000 0.374
Pm7 0.500 0.000 0.626
Pm8 0.500 0.000 0.878
Pm9 0.000 0.500 0.122
Pm10 0.000 0.500 0.374
Pm11 0.000 0.500 0.626
Pm12 0.000 0.500 0.878

---

7.
# LiPuZn2Ge2 (PBE-GGA, relaxed)
# calculated formation energy: -344 meV/atom
# V: 109 Å³ per cell
data_LiPuZn2Ge2
_chemical_formula_sum 'Li1 Pu1 Zn2 Ge2'
_space_group_name_H-M_alt 'P 1'
_space_group_IT_number 1
_cell_length_a 4.270
_cell_length_b 4.270
_cell_length_c 6.890
_cell_angle_alpha 90.00
_cell_angle_beta 90.00
_cell_angle_gamma 120.00
loop_
_space_group_symop_operation_xyz
'x,y,z'
loop_
_atom_site_label
_atom_site_fract_x
_atom_site_fract_y
_atom_site_fract_z
Li1 0.000 0.000 0.500
Pu1 0.000 0.000 0.000
Zn1 0.333 0.667 0.678
Zn2 0.667 0.333 0.322
Ge1 0.333 0.667 0.249
Ge2 0.667 0.333 0.751

---

8.
# SrLa4As5 (PBE-GGA, relaxed)
# calculated formation energy: -1427 meV/atom
# V: 300 Å³ per cell
data_SrLa4As5
_chemical_formula_sum 'Sr1 La4 As5'
_space_group_name_H-M_alt 'P 1'
_space_group_IT_number 1
_cell_length_a 4.392
_cell_length_b 6.204
_cell_length_c 11.661
_cell_angle_alpha 105.43
_cell_angle_beta 100.86
_cell_angle_gamma 90.00
loop_
_space_group_symop_operation_xyz
'x,y,z'
loop_
_atom_site_label
_atom_site_fract_x
_atom_site_fract_y
_atom_site_fract_z
Sr1 0.000 0.000 0.000
La1 0.401 0.401 0.802
La2 0.799 0.799 0.599
La3 0.201 0.201 0.401
La4 0.599 0.599 0.198
As1 0.606 0.106 0.212
As2 0.802 0.302 0.603
As3 0.198 0.698 0.397
As4 0.000 0.500 0.000
As5 0.394 0.894 0.788

---

9.
# SrIn4Se7 (PBE-GGA, relaxed)
# formation energy from raw total energies: -73 kJ/mol of atoms
# V: 794 Å³ per cell
data_SrIn4Se7
_chemical_formula_sum 'Sr2 In8 Se14'
_space_group_name_H-M_alt 'P 1'
_space_group_IT_number 1
_cell_length_a 6.786
_cell_length_b 7.011
_cell_length_c 16.681
_cell_angle_alpha 90.00
_cell_angle_beta 90.00
_cell_angle_gamma 90.00
loop_
_space_group_symop_operation_xyz
'x,y,z'
loop_
_atom_site_label
_atom_site_fract_x
_atom_site_fract_y
_atom_site_fract_z
Sr1 0.335 0.921 0.500
Sr2 0.835 0.079 0.000
In1 0.606 0.648 0.879
In2 0.097 0.836 0.248
In3 0.597 0.164 0.252
In4 0.106 0.352 0.621
In5 0.106 0.352 0.379
In6 0.606 0.648 0.121
In7 0.097 0.836 0.752
In8 0.597 0.164 0.748
Se1 0.984 0.723 0.108
Se2 0.484 0.277 0.392
Se3 0.505 0.290 0.890
Se4 0.005 0.710 0.610
Se5 0.005 0.710 0.390
Se6 0.505 0.290 0.110
Se7 0.491 0.797 0.740
Se8 0.991 0.203 0.760
Se9 0.991 0.203 0.240
Se10 0.491 0.797 0.260
Se11 0.454 0.836 0.000
Se12 0.954 0.164 0.500
Se13 0.984 0.723 0.892
Se14 0.484 0.277 0.608

---

10.
# SrRe2As2 (PBE-GGA, relaxed)
# ΔE to the lowest computed polymorph: 516 meV/atom
# calculated formation energy: 429 meV/atom
# V: 183 Å³ per cell
data_SrRe2As2
_chemical_formula_sum 'Sr2 Re4 As4'
_space_group_name_H-M_alt 'P 1'
_space_group_IT_number 1
_cell_length_a 7.798
_cell_length_b 7.798
_cell_length_c 3.015
_cell_angle_alpha 90.00
_cell_angle_beta 90.00
_cell_angle_gamma 90.00
loop_
_space_group_symop_operation_xyz
'x,y,z'
loop_
_atom_site_label
_atom_site_fract_x
_atom_site_fract_y
_atom_site_fract_z
Re1 0.377 0.877 0.000
Re2 0.877 0.623 0.000
Re3 0.623 0.123 0.000
Re4 0.123 0.377 0.000
As1 0.156 0.656 0.500
As2 0.656 0.844 0.500
As3 0.844 0.344 0.500
As4 0.344 0.156 0.500
Sr1 0.000 0.000 0.000
Sr2 0.500 0.500 0.000

---

11.
# ReSnBi3 (PBE-GGA, relaxed)
# ΔE to the lowest computed polymorph: 0 meV/atom
# calculated formation energy: 758 meV/atom
# V: 155 Å³ per cell
data_ReSnBi3
_chemical_formula_sum 'Re1 Sn1 Bi3'
_space_group_name_H-M_alt 'P 1'
_space_group_IT_number 1
_cell_length_a 5.367
_cell_length_b 5.367
_cell_length_c 5.367
_cell_angle_alpha 90.00
_cell_angle_beta 90.00
_cell_angle_gamma 90.00
loop_
_space_group_symop_operation_xyz
'x,y,z'
loop_
_atom_site_label
_atom_site_fract_x
_atom_site_fract_y
_atom_site_fract_z
Re1 0.000 0.000 0.000
Bi1 0.000 0.500 0.000
Bi2 0.000 0.000 0.500
Bi3 0.500 0.000 0.000
Sn1 0.500 0.500 0.500

---

12.
# Nd6Si2TeS3 (PBE-GGA, relaxed)
# formation energy from raw total energies: -144 kJ/mol of atoms
# V: 321 Å³ per cell
data_Nd6Si2TeS3
_chemical_formula_sum 'Nd6 Si2 Te1 S3'
_space_group_name_H-M_alt 'P 1'
_space_group_IT_number 1
_cell_length_a 4.217
_cell_length_b 8.498
_cell_length_c 9.412
_cell_angle_alpha 102.05
_cell_angle_beta 102.95
_cell_angle_gamma 90.00
loop_
_space_group_symop_operation_xyz
'x,y,z'
loop_
_atom_site_label
_atom_site_fract_x
_atom_site_fract_y
_atom_site_fract_z
Nd1 0.326 0.904 0.651
Nd2 0.667 0.584 0.335
Nd3 0.674 0.096 0.349
Nd4 0.004 0.275 0.007
Nd5 0.996 0.725 0.993
Nd6 0.333 0.416 0.665
Si1 0.833 0.665 0.666
Si2 0.167 0.335 0.334
Te1 0.500 0.000 0.000
S1 0.500 0.500 0.000
S2 0.836 0.164 0.672
S3 0.164 0.836 0.328

---

13.
# HAu2F (PBE-GGA, relaxed)
# ΔE to the lowest computed polymorph: 0 meV/atom
# V: 115 Å³ per cell
data_HAu2F
_chemical_formula_sum 'H2 Au4 F2'
_space_group_name_H-M_alt 'P 1'
_space_group_IT_number 1
_cell_length_a 5.113
_cell_length_b 5.113
_cell_length_c 5.706
_cell_angle_alpha 63.38
_cell_angle_beta 63.38
_cell_angle_gamma 90.00
loop_
_space_group_symop_operation_xyz
'x,y,z'
loop_
_atom_site_label
_atom_site_fract_x
_atom_site_fract_y
_atom_site_fract_z
H1 0.500 0.500 0.000
H2 0.250 0.750 0.500
Au1 0.522 0.125 0.250
Au2 0.228 0.625 0.250
Au3 0.375 0.478 0.750
Au4 0.875 0.772 0.750
F1 0.000 0.000 0.000
F2 0.750 0.250 0.500

---

14.
# Pr4SmRu (PBE-GGA, relaxed)
# calculated formation energy: -22 meV/atom
# V: 391 Å³ per cell
data_Pr4SmRu
_chemical_formula_sum 'Pr8 Sm2 Ru2'
_space_group_name_H-M_alt 'P 1'
_space_group_IT_number 1
_cell_length_a 6.130
_cell_length_b 7.655
_cell_length_c 9.678
_cell_angle_alpha 113.30
_cell_angle_beta 108.50
_cell_angle_gamma 90.00
loop_
_space_group_symop_operation_xyz
'x,y,z'
loop_
_atom_site_label
_atom_site_fract_x
_atom_site_fract_y
_atom_site_fract_z
Pr1 0.171 0.671 0.343
Pr2 0.385 0.137 0.770
Pr3 0.000 0.207 0.000
Pr4 0.615 0.367 0.230
Pr5 0.829 0.329 0.657
Pr6 0.615 0.863 0.230
Pr7 0.000 0.793 0.000
Pr8 0.385 0.633 0.770
Sm1 0.801 0.801 0.601
Sm2 0.199 0.199 0.399
Ru1 0.263 0.501 0.001
Ru2 0.737 0.499 0.999

---

15.
# La2Nd4Y (PBE-GGA, relaxed)
# ΔE to the lowest computed polymorph: 26 meV/atom
# calculated formation energy: 205 meV/atom
# V: 506 Å³ per cell
data_La2Nd4Y
_chemical_formula_sum 'La4 Nd8 Y2'
_space_group_name_H-M_alt 'P 1'
_space_group_IT_number 1
_cell_length_a 6.940
_cell_length_b 9.225
_cell_length_c 9.225
_cell_angle_alpha 78.83
_cell_angle_beta 67.90
_cell_angle_gamma 67.90
loop_
_space_group_symop_operation_xyz
'x,y,z'
loop_
_atom_site_label
_atom_site_fract_x
_atom_site_fract_y
_atom_site_fract_z
La1 0.278 0.972 0.472
La2 0.500 0.000 0.000
La3 0.500 0.500 0.500
La4 0.722 0.028 0.528
Nd1 0.142 0.366 0.350
Nd2 0.142 0.850 0.866
Nd3 0.233 0.241 0.741
Nd4 0.786 0.241 0.741
Nd5 0.214 0.759 0.259
Nd6 0.858 0.150 0.134
Nd7 0.767 0.759 0.259
Nd8 0.858 0.634 0.650
Y1 0.000 0.500 0.000
Y2 0.500 0.500 0.000

---

16.
# Sm2HoRh2 (PBE-GGA, relaxed)
# calculated formation energy: -655 meV/atom
# V: 121 Å³ per cell
data_Sm2HoRh2
_chemical_formula_sum 'Sm2 Ho1 Rh2'
_space_group_name_H-M_alt 'P 1'
_space_group_IT_number 1
_cell_length_a 4.187
_cell_length_b 5.942
_cell_length_c 5.942
_cell_angle_alpha 63.88
_cell_angle_beta 69.37
_cell_angle_gamma 69.37
loop_
_space_group_symop_operation_xyz
'x,y,z'
loop_
_atom_site_label
_atom_site_fract_x
_atom_site_fract_y
_atom_site_fract_z
Sm1 0.196 0.304 0.304
Sm2 0.804 0.696 0.696
Ho1 0.000 0.000 0.000
Rh1 0.500 0.280 0.720
Rh2 0.500 0.720 0.280

---

17.
# BaWSe2 (PBE-GGA, relaxed)
# formation energy from raw total energies: 33 kJ/mol of atoms
# ΔE to the lowest computed polymorph: 855 meV/atom
# V: 112 Å³ per cell
data_BaWSe2
_chemical_formula_sum 'Ba1 W1 Se2'
_space_group_name_H-M_alt 'P 1'
_space_group_IT_number 1
_cell_length_a 6.792
_cell_length_b 6.792
_cell_length_c 6.792
_cell_angle_alpha 143.23
_cell_angle_beta 143.23
_cell_angle_gamma 52.97
loop_
_space_group_symop_operation_xyz
'x,y,z'
loop_
_atom_site_label
_atom_site_fract_x
_atom_site_fract_y
_atom_site_fract_z
Ba1 0.750 0.250 0.500
Se1 0.000 0.000 0.000
Se2 0.250 0.750 0.500
W1 0.500 0.500 0.000

---

18.
# YEr5In4 (PBE-GGA, relaxed)
# calculated formation energy: -363 meV/atom
# V: 271 Å³ per cell
data_YEr5In4
_chemical_formula_sum 'Y1 Er5 In4'
_space_group_name_H-M_alt 'P 1'
_space_group_IT_number 1
_cell_length_a 3.554
_cell_length_b 3.554
_cell_length_c 21.495
_cell_angle_alpha 90.00
_cell_angle_beta 90.00
_cell_angle_gamma 90.00
loop_
_space_group_symop_operation_xyz
'x,y,z'
loop_
_atom_site_label
_atom_site_fract_x
_atom_site_fract_y
_atom_site_fract_z
Y1 0.000 0.000 0.000
Er1 0.500 0.500 0.115
Er2 0.500 0.500 0.307
Er3 0.500 0.500 0.500
Er4 0.500 0.500 0.693
Er5 0.500 0.500 0.885
In1 0.000 0.000 0.211
In2 0.000 0.000 0.404
In3 0.000 0.000 0.596
In4 0.000 0.000 0.789

---

19.
# SmDySc2 (PBE-GGA, relaxed)
# ΔE to the lowest computed polymorph: 0 meV/atom
# calculated formation energy: 49 meV/atom
# V: 113 Å³ per cell
data_SmDySc2
_chemical_formula_sum 'Sm1 Dy1 Sc2'
_space_group_name_H-M_alt 'P 1'
_space_group_IT_number 1
_cell_length_a 3.443
_cell_length_b 3.444
_cell_length_c 10.972
_cell_angle_alpha 90.00
_cell_angle_beta 90.00
_cell_angle_gamma 60.01
loop_
_space_group_symop_operation_xyz
'x,y,z'
loop_
_atom_site_label
_atom_site_fract_x
_atom_site_fract_y
_atom_site_fract_z
Sm1 0.674 0.107 0.420
Dy1 0.673 0.107 0.920
Sc1 0.340 0.773 0.671
Sc2 0.007 0.440 0.168

---

20.
# La2MnRh (PBE-GGA, relaxed)
# ΔE to the lowest computed polymorph: 218 meV/atom
# calculated formation energy: -34 meV/atom
# V: 88 Å³ per cell
data_La2MnRh
_chemical_formula_sum 'La2 Mn1 Rh1'
_space_group_name_H-M_alt 'P 1'
_space_group_IT_number 1
_cell_length_a 4.992
_cell_length_b 4.992
_cell_length_c 4.992
_cell_angle_alpha 60.00
_cell_angle_beta 60.00
_cell_angle_gamma 60.00
loop_
_space_group_symop_operation_xyz
'x,y,z'
loop_
_atom_site_label
_atom_site_fract_x
_atom_site_fract_y
_atom_site_fract_z
La1 0.000 0.000 0.000
La2 0.250 0.250 0.250
Mn1 0.500 0.500 0.500
Rh1 0.750 0.750 0.750